A plane-wave DFT calculation with PBE-GGA was carried out for an optimized crystal structure of Pu3Si4Pd.

**Crystal system**: orthorhombic
**ρ**: 8.99 g/cm3
**Energy relative to the elements, uncorrected**: 181 meV/atom
**Total magnetization**: 17.53 μB/f.u.

```
Pu3Si4Pd
1.0
2.886 0.000 0.000
0.000 7.843 0.000
-1.443 -3.921 7.760
Pd Si Pu
1 4 3
direct
0.500 0.000 0.000
0.818 0.171 0.635
0.182 0.829 0.365
0.182 0.535 0.365
0.818 0.465 0.635
0.000 0.500 0.000
0.162 0.162 0.323
0.838 0.838 0.677
```



A plane-wave DFT calculation with PBE-GGA was carried out for an optimized crystal structure of GeIN2O.

**Crystal system**: tetragonal
**ρ**: 5.89 g/cm3
**Energy relative to the elements, uncorrected**: 1385 meV/atom
**Total magnetization**: 0.00 μB/f.u.

```
GeIN2O
1.0
-1.457 2.301 -3.072
-3.461 -2.208 -0.012
-1.647 2.566 2.703
O N Ge I
1 2 1 1
direct
0.000 0.000 0.500
0.000 0.500 0.000
0.500 0.000 0.000
0.500 0.500 0.500
0.000 0.000 0.000
```



A plane-wave DFT calculation with PBE-GGA was carried out for an optimized crystal structure of ScV2OsS.

**Crystal system**: tetragonal
**ρ**: 7.40 g/cm3
**Energy relative to the elements, uncorrected**: 159 meV/atom
**Total magnetization**: 0.71 μB/f.u.

```
ScV2OsS
1.0
4.228 0.000 0.000
0.000 4.632 0.000
0.000 0.000 4.228
S V Os Sc
1 2 1 1
direct
0.000 0.000 0.000
0.000 0.000 0.500
0.500 0.000 0.000
0.500 0.500 0.500
0.000 0.500 0.000
```



A plane-wave DFT calculation with PBE-GGA was carried out for an optimized crystal structure of HgPIrS2.

**Crystal system**: tetragonal
**ρ**: 6.96 g/cm3
**Energy relative to the elements, uncorrected**: 1898 meV/atom
**Total magnetization**: 1.62 μB/f.u.

```
HgPIrS2
1.0
4.864 0.000 0.000
0.000 4.864 0.000
0.000 0.000 4.922
S Hg P Ir
2 1 1 1
direct
0.500 0.000 0.000
0.000 0.500 0.000
0.000 0.000 0.000
0.000 0.000 0.500
0.500 0.500 0.500
```